Below is crystalline BaAg4Br6 at its relaxed geometry, with properties calculated at the GGA-PBE level.

Cell lengths 5.722, 5.724, 11.537 Å; angles 104.39, 104.36, 90.00 degrees
Atoms (fractional coordinates):
Br (0.048, 0.551, 0.736)
Br (0.223, 0.722, 0.082)
Br (0.549, 0.053, 0.736)
Br (0.369, 0.366, 0.370)
Br (0.723, 0.221, 0.083)
Br (0.908, 0.905, 0.448)
Ag (0.993, 0.616, 0.246)
Ag (0.621, 0.987, 0.246)
Ag (0.651, 0.657, 0.572)
Ag (0.279, 0.286, 0.572)
Ba (0.136, 0.137, 0.909)

Properties
**ΔE_f (raw)**: -0.825 eV/atom
**Crystal system**: triclinic